(1)
Compound: Tm5CdHg3
Source: the Alexandria database
Functional: PBE
Structure: relaxed

Geometry as POSCAR:
```
Tm5CdHg3
1.0
9.0352 0.0000 0.0000
-4.5176 7.8247 0.0000
0.0000 0.0000 6.5476
Tm Cd Hg
10 2 6
Cartesian
-1.3447 2.3292 1.6369 Tm
-3.1729 5.4956 4.9107 Tm
2.6895 0.0000 1.6369 Tm
1.3447 2.3292 4.9107 Tm
0.0000 5.2165 0.0000 Tm
0.0000 5.2165 3.2738 Tm
4.5176 2.6082 0.0000 Tm
4.5176 2.6082 3.2738 Tm
6.3457 0.0000 4.9107 Tm
3.1729 5.4956 1.6369 Tm
0.0000 0.0000 0.0000 Cd
0.0000 0.0000 3.2738 Cd
-1.6785 2.9072 4.9107 Hg
-2.8392 4.9176 1.6369 Hg
3.3569 0.0000 4.9107 Hg
1.6785 2.9072 1.6369 Hg
5.6783 0.0000 1.6369 Hg
2.8392 4.9176 4.9107 Hg
```

## Properties
The formation enthalpy at 0 K comes out at -0.352 eV per atom. Its spin magnetization is 0.0 μB/f.u.



(2)
Compound: Pm5BeGe6
Source: the Alexandria database
Functional: PBE
Structure: relaxed

Geometry as POSCAR:
```
Pm5BeGe6
1.0
4.2063 -6.8744 0.0000
4.2063 6.8744 0.0000
-2.7377 0.0000 4.9501
Pm Be Ge
5 1 6
Cartesian
0.0000 0.0000 0.0000 Pm
2.8374 4.6380 2.4750 Pm
4.2063 2.1221 0.0000 Pm
4.2063 -2.1221 0.0000 Pm
2.8374 -4.6380 2.4750 Pm
2.8374 0.0000 2.4750 Be
1.5374 2.1442 1.3756 Ge
0.5461 0.0000 3.0246 Ge
1.5374 -2.1442 1.3756 Ge
4.1374 2.1442 3.5745 Ge
5.1287 0.0000 1.9255 Ge
4.1374 -2.1442 3.5745 Ge
```

## Properties
The formation enthalpy at 0 K comes out at -0.464 eV per atom. Its spin magnetization is 0.0 μB/f.u.



(3)
Compound: PaTiRe2
Source: the Alexandria database
Functional: PBE
Structure: relaxed

Geometry as POSCAR:
```
PaTiRe2
1.0
4.6705 0.0000 0.0000
0.0000 4.6705 0.0000
0.0000 0.0000 3.3007
Pa Ti Re
1 1 2
Cartesian
0.0000 0.0000 0.0000 Pa
2.3353 2.3353 0.0000 Ti
0.0000 2.3353 1.6503 Re
2.3353 0.0000 1.6503 Re
```

## Properties
The formation enthalpy at 0 K comes out at -0.136 eV per atom. As for the polymorph energy (0 for the lowest one): 1 meV/atom. Its spin magnetization is 0.0 μB/f.u.



What is the formation enthalpy at 0 K in the third record?
-0.136 eV per atom